1.
Density functional theory data (PBE) for crystalline SrLiZr at its relaxed geometry.

VASP energy (eV/cell): -32.0
ΔH_f (0 K) (meV/atom): 1383
Polymorph energy (0 for the lowest one) (meV/atom): 937.4

abc: 7.3098 7.3098 7.3098
angles: 90.00 90.00 90.00
With the nearest neighbours (Å) after each atom.
Space group F-43m (No. 216)
Asymmetric unit:
1 Sr 0.0000 0.0000 0.0000 x4  4 Zr 3.17, 4 Li 3.17
2 Li 0.2500 0.2500 0.7500 x4  4 Sr 3.17
3 Zr 0.2500 0.2500 0.2500 x4  4 Sr 3.17

***

2.
Density functional theory data (PBE) for crystalline SrLi2Zr at its relaxed geometry.

VASP energy (eV/cell): -36.8
ΔH_f (0 K) (meV/atom): 444
Polymorph energy (0 for the lowest one) (meV/atom): 105.1

abc: 3.3750 3.3750 32.5959
angles: 90.00 90.00 120.00
With the nearest neighbours (Å) after each atom.
Space group R-3m (No. 166, hexagonal axes)
Asymmetric unit:
1 Sr 0.0000 0.0000 0.0000 x3  6 Sr 3.38, 6 Li 3.54
2 Li 0.0000 0.0000 0.2426 x6  3 Zr 3.15, 6 Li 3.38
3 Zr 0.0000 0.0000 0.5000 x3  6 Li 3.15, 6 Zr 3.38

***

3.
Density functional theory data (PBE) for crystalline SrLiZr at its relaxed geometry.

VASP energy (eV/cell): -21.6
ΔH_f (0 K) (meV/atom): 446
Polymorph energy (0 for the lowest one) (meV/atom): 0.0

abc: 3.4960 3.4960 13.7730
angles: 90.00 90.00 90.00
With the nearest neighbours (Å) after each atom.
Space group I4mm (No. 107)
Asymmetric unit:
1 Sr 0.0000 0.0000 0.0000 x2  4 Sr 3.50, 4 Li 3.51, 4 Zr 3.64
2 Li 0.0000 0.0000 0.3196 x2  4 Zr 3.02
3 Zr 0.0000 0.0000 0.6942 x2  4 Li 3.02

***

4.
Density functional theory data (PBE) for crystalline SrLi2Zr at its relaxed geometry.

VASP energy (eV/cell): -24.0
ΔH_f (0 K) (meV/atom): 520
Polymorph energy (0 for the lowest one) (meV/atom): 181.2

abc: 3.5077 5.7275 11.0496
angles: 90.00 90.00 90.00
With the nearest neighbours (Å) after each atom.
Space group Immm (No. 71)
Asymmetric unit:
1 Sr 0.0000 0.0000 0.0000 x2  4 Zr 3.36, 4 Li 3.41, 2 Sr 3.51
2 Li 0.0000 0.5000 0.2351 x4  2 Zr 3.13, 6 Li 3.37-3.51, 2 Sr 3.41
3 Zr 0.0000 0.0000 0.5000 x2  4 Li 3.13, 4 Sr 3.36, 2 Zr 3.51

***

5.
Density functional theory data (PBE) for crystalline Sr2LiZr at its relaxed geometry.

VASP energy (eV/cell): -23.2
ΔH_f (0 K) (meV/atom): 551
Polymorph energy (0 for the lowest one) (meV/atom): 177.6

abc: 11.6751 3.5669 6.8773
angles: 90.00 99.31 90.00
With the nearest neighbours (Å) after each atom.
Space group C2/m (No. 12)
Asymmetric unit:
1 Sr 0.2468 0.0000 0.2559 x4  3 Zr 3.56-3.62, 6 Sr 3.57-3.96, 3 Li 3.60-3.68
2 Li 0.0000 0.5000 0.0000 x2  2 Li 3.57, 6 Sr 3.60-3.68, 4 Zr 3.87
3 Zr 0.0000 0.0000 0.5000 x2  6 Sr 3.56-3.62, 2 Zr 3.57, 4 Li 3.87

***

6.
Density functional theory data (PBE) for crystalline SrLi2Zr at its relaxed geometry.

VASP energy (eV/cell): -48.4
ΔH_f (0 K) (meV/atom): 492
Polymorph energy (0 for the lowest one) (meV/atom): 153.1

abc: 7.5111 7.5111 7.5111
angles: 90.00 90.00 90.00
With the nearest neighbours (Å) after each atom.
Space group Fm-3m (No. 225)
Asymmetric unit:
1 Sr 0.0000 0.0000 0.0000 x4  8 Li 3.25
2 Li 0.2500 0.2500 0.2500 x8  4 Zr 3.25, 4 Sr 3.25
3 Zr 0.0000 0.0000 0.5000 x4  8 Li 3.25

***

7.
Density functional theory data (PBE) for crystalline Sr2LiZr at its relaxed geometry.

VASP energy (eV/cell): -23.1
ΔH_f (0 K) (meV/atom): 572
Polymorph energy (0 for the lowest one) (meV/atom): 198.1

abc: 5.0170 5.0170 11.3011
angles: 90.00 90.00 90.00
With the nearest neighbours (Å) after each atom.
Space group I-4m2 (No. 119)
Asymmetric unit:
1 Sr 0.0000 0.0000 0.0000 x2  4 Li 3.55, 4 Zr 3.78, 4 Sr 3.78
2 Sr 0.0000 0.5000 0.2500 x2  4 Zr 3.55, 4 Li 3.78, 4 Sr 3.78
3 Li 0.0000 0.0000 0.5000 x2  8 Sr 3.55-3.78, 4 Zr 3.78
4 Zr 0.0000 0.5000 0.7500 x2  8 Sr 3.55-3.78, 4 Li 3.78

***

8.
Density functional theory data (PBE) for crystalline SrLi2Zr at its relaxed geometry.

VASP energy (eV/cell): -24.4
ΔH_f (0 K) (meV/atom): 462
Polymorph energy (0 for the lowest one) (meV/atom): 122.8

abc: 6.7230 10.4214 3.1365
angles: 90.00 105.52 90.00
With the nearest neighbours (Å) after each atom.
Space group C2/m (No. 12)
Asymmetric unit:
1 Sr 0.0000 0.0000 0.0000 x2  2 Sr 3.14, 4 Li 3.27, 2 Zr 3.36
2 Li 0.2500 0.2500 0.5000 x4  4 Li 3.14-3.36, 2 Zr 3.27, 2 Sr 3.27
3 Zr 0.0000 0.5000 0.0000 x2  2 Zr 3.14, 4 Li 3.27, 2 Sr 3.36

***

The following density values (in g/cm³) correspond, in order, to the records above: 3.2, 3.0, 3.7, 2.9, 3.2, 3.0, 3.2, 3.0.